Record 1
First-principles (PBE) data for a relaxed structure of TbEr2PaAs4, as listed in Alexandria.

Its density of states at the Fermi level is 0.68 states/eV per atom. As for the formation enthalpy at 0 K: -1.408 eV per atom. Its final energy is -0.4880 Ry/atom.

Cell lengths 7.076, 4.101, 7.091 Å; angles 90.00, 109.48, 90.00 degrees
Space group P2/m (No. 10)
Asymmetric unit:
1 Tb 0.000 0.000 0.000
2 Er 0.500 0.000 0.500
3 Er 0.500 0.500 0.000
4 Pa 0.000 0.500 0.500
5 As 0.251 0.000 0.749
6 As 0.251 0.500 0.254

---

Record 2
First-principles (PBE) data for a relaxed structure of Pr5DySe8, as listed in Alexandria.

Its density of states at the Fermi level is 0.70 states/eV per atom. Its final energy is -0.4316 Ry/atom.

Cell lengths 8.927, 8.927, 9.038 Å; angles 90.00, 90.00, 90.00 degrees
Space group I-4 (No. 82)
Asymmetric unit:
1 Pr 0.000 0.000 0.000
2 Pr 0.118 0.251 0.376
3 Dy 0.000 0.500 0.750
4 Se 0.072 0.184 0.702
5 Se 0.076 0.325 0.049

---

Record 3
First-principles (PBE) data for a relaxed structure of Hg2Te2I, as listed in Alexandria.

Its density of states at the Fermi level is 0.51 states/eV per atom. The value obtained for the relative energy among the computed polymorphs is 234 meV per atom. Its final energy is -0.1105 Ry/atom.

Cell lengths 9.729, 9.729, 3.225 Å; angles 90.00, 90.00, 90.00 degrees
Space group P4/mbm (No. 127)
Asymmetric unit:
1 Hg 0.169 0.331 0.000
2 Te 0.133 0.633 0.500
3 I 0.000 0.000 0.000

---

Record 4
First-principles (PBE) data for a relaxed structure of Pm3HoEr2Tm6, as listed in Alexandria.

Its density of states at the Fermi level is 1.36 states/eV per atom. As for the formation enthalpy at 0 K: 0.024 eV per atom. Its final energy is -0.3338 Ry/atom.

Cell lengths 6.131, 10.609, 11.664 Å; angles 90.00, 100.06, 90.00 degrees
Space group C2/m (No. 12)
Asymmetric unit:
1 Pm 0.000 0.000 0.000
2 Pm 0.000 0.333 0.000
3 Ho 0.000 0.500 0.500
4 Er 0.000 0.167 0.500
5 Tm 0.249 0.000 0.747
6 Tm 0.249 0.333 0.746

---

Record 5
First-principles (PBE) data for a relaxed structure of CaNd6Sm2Y3, as listed in Alexandria.

Its density of states at the Fermi level is 1.14 states/eV per atom. As for the formation enthalpy at 0 K: 0.025 eV per atom. Its final energy is -0.3622 Ry/atom.

Cell lengths 6.349, 10.995, 12.032 Å; angles 90.00, 100.06, 90.00 degrees
Space group C2/m (No. 12)
Asymmetric unit:
1 Ca 0.000 0.000 0.000
2 Nd 0.245 0.330 0.746
3 Nd 0.246 0.500 0.255
4 Sm 0.000 0.333 0.000
5 Y 0.000 0.166 0.500
6 Y 0.000 0.500 0.500

---

Record 6
First-principles (PBE) data for a relaxed structure of Zr3SN, as listed in Alexandria.

Its density of states at the Fermi level is 1.37 states/eV per atom. The value obtained for the relative energy among the computed polymorphs is 0 meV per atom. Its final energy is -0.6023 Ry/atom.

Cell lengths 4.441, 4.441, 4.441 Å; angles 90.00, 90.00, 90.00 degrees
Space group Pm-3m (No. 221)
Asymmetric unit:
1 Zr 0.000 0.000 0.500
2 S 0.500 0.500 0.500
3 N 0.000 0.000 0.000

---

Number 1: total magnetization 0.252 μB/cell. Number 2: total magnetization 0.000 μB/cell. Number 3: total magnetization 0.000 μB/cell. Number 4: total magnetization 0.000 μB/cell. Number 5: total magnetization 0.000 μB/cell. Number 6: total magnetization 0.000 μB/cell.